one.
Here is TaCr2Br at its PBEsol-relaxed geometry from the Alexandria database. Energies are from SCAN.

Calculated values
Symmetry   I-4m2, No. 119

Cell: 5.1792 5.1792 5.1792 Å, 139.03 139.03 59.33°
With the nearest neighbours (Å) after each atom.
Fractional coordinates of all 4 atoms:
Ta (0.0000, 0.0000, 0.0000)  4 Cr 2.56
Cr (0.2500, 0.7500, 0.5000)  4 Br 2.56
Cr (0.5000, 0.5000, 0.0000)  4 Ta 2.56
Br (0.7500, 0.2500, 0.5000)  4 Cr 2.56

two.
Here is TaCr2Br at its PBEsol-relaxed geometry from the Alexandria database. Energies are from SCAN.

Calculated values
Symmetry   Pmmm, No. 47

Cell: 3.0141 4.3449 4.5331 Å, 90.00 90.00 90.00°
With the nearest neighbours (Å) after each atom.
Fractional coordinates of all 4 atoms:
Ta (0.0000, 0.0000, 0.0000)  4 Cr 2.64, 4 Br 2.72
Cr (0.0000, 0.5000, 0.5000)  4 Br 2.64, 4 Cr 2.72
Cr (0.5000, 0.5000, 0.0000)  4 Ta 2.64, 4 Cr 2.72
Br (0.5000, 0.0000, 0.5000)  4 Cr 2.64, 4 Ta 2.72

Energy ordering: two at the bottom, the next structure 7.8 kJ/mol of atoms above.